No. 1
The following is a DFT calculation (GGA-PBE) of a geometry-optimized Li3Ti2Cu3O10 structure.

Results
Total moment, μB per cell: 3.9
Total DFT energy (no corrections), eV/cell: -113.19
ΔE_f (raw), meV/atom: -1655
DOS at the Fermi energy, states/eV per cell: 4.2

Unit cell a=5.1356 b=5.4211 c=7.8941 alpha=109.70 beta=95.06 gamma=106.97
Last column: nearest neighbours and their distance in Å.
Positions (direct):
O1 0.9167 0.6916 0.4763  2 Ti 1.91-2.00, 1 Li 2.00
Ti1 0.8765 0.3050 0.3095  5 O 1.84-2.06
Cu1 0.0000 0.5000 0.0000  4 O 1.87-1.90
Li1 0.8254 0.0761 0.6312  3 O 1.97-2.06
O2 0.0833 0.3084 0.5237  2 Ti 1.91-2.00, 1 Li 2.00
O3 0.6901 0.2607 0.0485  3 Cu 1.90-2.06, 1 Ti 2.10
Li2 0.5000 0.5000 0.5000  4 O 1.92-2.14
O4 0.0594 0.0457 0.8444  2 Cu 2.01, 1 Ti 2.02, 1 Li 2.06
O5 0.1995 0.4843 0.2043  2 Cu 1.87-2.05, 1 Ti 2.06
O6 0.8005 0.5157 0.7957  2 Cu 1.87-2.05, 1 Ti 2.06
Cu2 0.7050 0.8686 0.9126  6 O 2.01-2.06
O7 0.4890 0.8390 0.6767  1 Ti 1.84, 2 Li 1.92-1.97, 1 Cu 2.01
Li3 0.1746 0.9239 0.3688  3 O 1.97-2.06
O8 0.9406 0.9543 0.1556  2 Cu 2.01, 1 Ti 2.02, 1 Li 2.06
O9 0.3099 0.7393 0.9515  3 Cu 1.90-2.06, 1 Ti 2.10
Ti2 0.1235 0.6950 0.6905  5 O 1.84-2.06
O10 0.5110 0.1610 0.3233  1 Ti 1.84, 2 Li 1.92-1.97, 1 Cu 2.01
Cu3 0.2950 0.1314 0.0874  6 O 2.01-2.06


No. 2
The following is a DFT calculation (GGA-PBE) of a geometry-optimized Ce2HoPuBi4 structure.

Results
Total moment, μB per cell: 6.9
Total DFT energy (no corrections), eV/cell: -51.81
DOS at the Fermi energy, states/eV per cell: 27.1
Calculated formation energy, eV/atom: -0.6887

Unit cell a=4.5590 b=7.8487 c=7.9017 alpha=70.44 beta=90.00 gamma=90.00
Last column: nearest neighbours and their distance in Å.
Positions (direct):
Bi1 0.5000 0.7449 0.2544  2 Ho 3.19, 1 Pu 3.21, 3 Ce 3.22-3.25
Bi2 0.5000 0.2551 0.7456  2 Ho 3.19, 1 Pu 3.21, 3 Ce 3.22-3.25
Bi3 0.0000 0.7465 0.7486  1 Ho 3.19, 2 Pu 3.21, 3 Ce 3.22-3.25
Ce1 0.0000 0.0000 0.0000  6 Bi 3.25
Ho1 0.0000 0.5000 0.5000  6 Bi 3.19
Ce2 0.5000 0.0000 0.5000  6 Bi 3.22
Pu1 0.5000 0.5000 0.0000  6 Bi 3.21
Bi4 0.0000 0.2535 0.2514  1 Ho 3.19, 2 Pu 3.21, 3 Ce 3.22-3.25


No. 3
The following is a DFT calculation (GGA-PBE) of a geometry-optimized Y2HoZr3N6 structure.

Results
Total moment, μB per cell: 0.0
Total DFT energy (no corrections), eV/cell: -113.81
ΔE_f (raw), meV/atom: -1726
DOS at the Fermi energy, states/eV per cell: 3.2

Unit cell a=5.7858 b=5.7858 c=5.8418 alpha=99.54 beta=99.54 gamma=119.92
Last column: nearest neighbours and their distance in Å.
Positions (direct):
N1 0.9109 0.5793 0.7331  3 Zr 2.31-2.33, 1 Ho 2.42, 2 Y 2.43
N2 0.4207 0.0891 0.2669  3 Zr 2.31-2.33, 1 Ho 2.42, 2 Y 2.43
Y1 0.3334 0.6666 0.0000  6 N 2.43
Ho1 0.0000 0.0000 0.0000  6 N 2.42
Zr1 0.5000 0.5000 0.5000  6 N 2.31-2.33
N3 0.0891 0.4207 0.2669  3 Zr 2.31-2.33, 1 Ho 2.42, 2 Y 2.43
Y2 0.6666 0.3334 0.0000  6 N 2.43
Zr2 0.8336 0.1664 0.5000  6 N 2.31-2.33
N4 0.7574 0.7574 0.2666  3 Zr 2.31-2.33, 1 Ho 2.42, 2 Y 2.43
Zr3 0.1664 0.8336 0.5000  6 N 2.31-2.33
N5 0.5793 0.9109 0.7331  3 Zr 2.31-2.33, 1 Ho 2.42, 2 Y 2.43
N6 0.2426 0.2426 0.7334  3 Zr 2.31-2.33, 1 Ho 2.42, 2 Y 2.43


No. 4
The following is a DFT calculation (GGA-PBE) of a geometry-optimized Np2CuS6 structure.

Results
Total moment, μB per cell: 6.1
Total DFT energy (no corrections), eV/cell: -61.05
ΔE_f (raw), meV/atom: -700
DOS at the Fermi energy, states/eV per cell: 15.4

Unit cell a=3.6246 b=7.1829 c=7.1829 alpha=120.00 beta=90.00 gamma=90.00
Last column: nearest neighbours and their distance in Å.
Positions (direct):
S1 0.5000 0.4538 0.0000  4 Np 2.77, 2 S 2.90
S2 0.5000 0.5462 0.5462  4 Np 2.77, 2 S 2.90
Np1 0.0000 0.3333 0.6667  9 S 2.77-2.83
Np2 0.0000 0.6667 0.3333  9 S 2.77-2.83
S3 0.0000 0.7684 0.0000  2 Cu 2.46
S4 0.5000 0.0000 0.4538  4 Np 2.77, 2 S 2.90
S5 0.0000 0.2316 0.2316  2 Cu 2.46
S6 0.0000 0.0000 0.7684  2 Cu 2.46
Cu1 0.5000 0.0000 0.0000  6 S 2.46


No. 5
The following is a DFT calculation (GGA-PBE) of a geometry-optimized TlIn2Ge2 structure.

Results
Total moment, μB per cell: 0.0
Total DFT energy (no corrections), eV/cell: -16.58
DOS at the Fermi energy, states/eV per cell: 2.0
Calculated formation energy, eV/atom: 0.0990

Unit cell a=5.0255 b=5.0255 c=6.3248 alpha=66.59 beta=66.59 gamma=90.00
Last column: nearest neighbours and their distance in Å.
Positions (direct):
Tl1 0.0000 0.0000 0.0000  8 In 3.63, 10 Ge 3.77-3.98
In1 0.2500 0.7500 0.5000  4 Ge 2.86
Ge1 0.6194 0.6194 0.7612  1 Ge 2.50
Ge2 0.3806 0.3806 0.2388  1 Ge 2.50
In2 0.7500 0.2500 0.5000  4 Ge 2.86


No. 6
The following is a DFT calculation (GGA-PBE) of a geometry-optimized BaBi2I structure.

Results
Total moment, μB per cell: 0.0
Total DFT energy (no corrections), eV/cell: -27.94
ΔE_f (raw), meV/atom: -684
DOS at the Fermi energy, states/eV per cell: 4.1

Unit cell a=4.8739 b=4.8739 c=14.7300 alpha=80.48 beta=80.48 gamma=90.00
Last column: nearest neighbours and their distance in Å.
Positions (direct):
Bi1 0.3750 0.3180 0.7500  2 Bi 3.08
I1 0.2500 0.7500 0.5000  4 Ba 3.45
Bi2 0.0680 0.6250 0.2500  2 Bi 3.08
Bi3 0.6820 0.1250 0.2500  2 Bi 3.08
Ba1 0.7500 0.2500 0.5000  4 I 3.45
Bi4 0.8750 0.9320 0.7500  2 Bi 3.08
I2 0.5000 0.5000 0.0000  4 Ba 3.45
Ba2 0.0000 0.0000 0.0000  4 I 3.45


No. 7
The following is a DFT calculation (GGA-PBE) of a geometry-optimized TiNiSCl2 structure.

Results
Total moment, μB per cell: 0.6
Total DFT energy (no corrections), eV/cell: -22.77
ΔE_f (raw), meV/atom: -254
DOS at the Fermi energy, states/eV per cell: 8.9

Unit cell a=4.7336 b=4.7336 c=4.7842 alpha=90.00 beta=90.00 gamma=90.00
Last column: nearest neighbours and their distance in Å.
Positions (direct):
Cl1 0.5000 0.0000 0.0000  2 Ti 2.37
S1 0.0000 0.0000 0.5000  2 Ti 2.39
Cl2 0.0000 0.5000 0.0000  2 Ti 2.37
Ni1 0.5000 0.5000 0.5000  4 S 3.35, 8 Cl 3.37
Ti1 0.0000 0.0000 0.0000  4 Cl 2.37, 2 S 2.39


No. 8
The following is a DFT calculation (GGA-PBE) of a geometry-optimized CsTlRhO2 structure.

Results
Total moment, μB per cell: 0.0
Total DFT energy (no corrections), eV/cell: -49.46
ΔE_f (raw), meV/atom: -848
DOS at the Fermi energy, states/eV per cell: 5.6

Unit cell a=8.3927 b=5.2691 c=6.3330 alpha=90.00 beta=90.00 gamma=90.00
Last column: nearest neighbours and their distance in Å.
Positions (direct):
Cs1 0.8208 0.7500 0.5000  6 O 2.98-3.29
O1 0.9004 0.2500 0.2085  2 Rh 2.04
O2 0.0996 0.7500 0.7915  2 Rh 2.04
O3 0.0996 0.7500 0.2085  2 Rh 2.04
O4 0.9004 0.2500 0.7915  2 Rh 2.04
Rh1 0.0000 0.0000 0.0000  4 O 2.04
Rh2 0.0000 0.5000 0.0000  4 O 2.04
Tl1 0.3380 0.7500 0.0000  2 O 2.40
Tl2 0.6620 0.2500 0.0000  2 O 2.40
Cs2 0.1792 0.2500 0.5000  6 O 2.98-3.29


No. 9
The following is a DFT calculation (GGA-PBE) of a geometry-optimized UVPt2 structure.

Results
Total moment, μB per cell: 0.0
Total DFT energy (no corrections), eV/cell: -34.48
DOS at the Fermi energy, states/eV per cell: 4.9
Calculated formation energy, eV/atom: -0.4970

Unit cell a=4.2398 b=3.9954 c=3.9954 alpha=90.00 beta=90.00 gamma=90.00
Last column: nearest neighbours and their distance in Å.
Positions (direct):
Pt1 0.0000 0.0000 0.5000  4 Pt 2.83, 4 U 2.91, 4 V 2.91
U1 0.5000 0.5000 0.5000  4 V 2.83, 8 Pt 2.91
V1 0.5000 0.0000 0.0000  4 U 2.83, 8 Pt 2.91
Pt2 0.0000 0.5000 0.0000  4 Pt 2.83, 4 U 2.91, 4 V 2.91


No. 10
The following is a DFT calculation (GGA-PBE) of a geometry-optimized Cs3Rb5Cd structure.

Results
Total moment, μB per cell: 0.0
Total DFT energy (no corrections), eV/cell: -8.19
DOS at the Fermi energy, states/eV per cell: 9.0
Calculated formation energy, eV/atom: 0.0132

Unit cell a=5.5043 b=12.8680 c=12.8680 alpha=120.00 beta=90.00 gamma=90.00
Last column: nearest neighbours and their distance in Å.
Positions (direct):
Rb1 0.5000 0.6667 0.3333  6 Cs 4.93, 5 Rb 5.12-5.50
Rb2 0.5000 0.0000 0.7733  2 Cd 4.01
Cs1 0.0000 0.3669 0.0000  1 Cd 4.72, 8 Rb 4.93-4.96
Cs2 0.0000 0.6331 0.6331  1 Cd 4.72, 8 Rb 4.93-4.96
Cd1 0.0000 0.0000 0.0000  6 Rb 4.01
Rb3 0.5000 0.7733 0.0000  2 Cd 4.01
Cs3 0.0000 0.0000 0.3669  1 Cd 4.72, 8 Rb 4.93-4.96
Rb4 0.5000 0.3333 0.6667  6 Cs 4.93, 5 Rb 5.12-5.50
Rb5 0.5000 0.2267 0.2267  2 Cd 4.01


No. 11
The following is a DFT calculation (GGA-PBE) of a geometry-optimized Ir2RuPt structure.

Results
Total moment, μB per cell: 0.7
Total DFT energy (no corrections), eV/cell: -31.86
DOS at the Fermi energy, states/eV per cell: 7.0
Calculated formation energy, eV/atom: 0.2939

Unit cell a=2.7191 b=2.7191 c=9.4527 alpha=90.00 beta=90.00 gamma=120.27
Last column: nearest neighbours and their distance in Å.
Positions (direct):
Ru1 0.5000 0.5000 0.7500  4 Ir 2.66, 6 Ru 2.71-2.72
Ir1 0.0000 0.0000 0.9927  2 Ru 2.66, 6 Ir 2.71-2.72, 2 Pt 2.78
Ir2 0.0000 0.0000 0.5073  2 Ru 2.66, 6 Ir 2.71-2.72, 2 Pt 2.78
Pt1 0.5000 0.5000 0.2500  6 Pt 2.71-2.72, 4 Ir 2.78


No. 12
The following is a DFT calculation (GGA-PBE) of a geometry-optimized CaGaGeW2 structure.

Results
Total moment, μB per cell: 0.0
Total DFT energy (no corrections), eV/cell: -29.67
DOS at the Fermi energy, states/eV per cell: 7.0
Calculated formation energy, eV/atom: 1.1765

Unit cell a=4.7475 b=4.9317 c=4.7475 alpha=90.00 beta=90.00 gamma=90.00
Last column: nearest neighbours and their distance in Å.
Positions (direct):
Ca1 0.5000 0.5000 0.5000  4 Ga 3.36, 8 W 3.42
Ga1 0.0000 0.5000 0.0000  2 Ge 2.47
W1 0.5000 0.0000 0.0000  2 Ge 2.37
W2 0.0000 0.0000 0.5000  2 Ge 2.37
Ge1 0.0000 0.0000 0.0000  4 W 2.37, 2 Ga 2.47